Record 1
# LiGa2Os

LiGa2Os after structural relaxation (PBE, Alexandria via LeMat-Bulk).

Magnetic moment ... 0.16 μB per atom
Crystal system ... tetragonal
Density ... 8.6 g cm⁻³
E_form ... 1.5 eV/f.u.

a b c (Å): 3.859 3.859 9.118
angles (deg): 77.78 77.78 90.00
Last column: magnetic moment on the atom in μB.
Fractional positions:
1 Os 0.000 0.000 0.000  0.62
2 Os 0.750 0.250 0.500  0.62
3 Ga 0.641 0.125 0.250  0.00
4 Ga 0.109 0.625 0.250  0.00
5 Ga 0.375 0.359 0.750  0.00
6 Ga 0.875 0.891 0.750  0.00
7 Li 0.500 0.500 0.000  -0.01
8 Li 0.250 0.750 0.500  -0.01


Record 2
# AcPr2Cd2In2

AcPr2Cd2In2 after structural relaxation (PBE, Alexandria via LeMat-Bulk).

Magnetic moment ... 0.00 μB per atom
Crystal system ... trigonal
Density ... 7.5 g cm⁻³
E_form ... -2.2 eV/f.u.

a b c (Å): 5.049 5.049 10.110
angles (deg): 75.54 75.54 60.00
Fractional positions:
1 Ac 0.000 0.000 0.000
2 Pr 0.131 0.131 0.606
3 Pr 0.869 0.869 0.394
4 Cd 0.587 0.587 0.240
5 Cd 0.413 0.413 0.760
6 In 0.741 0.741 0.778
7 In 0.259 0.259 0.222


Record 3
# Li3Pr2Cu12Pt

Li3Pr2Cu12Pt after structural relaxation (PBE, Alexandria via LeMat-Bulk).

Magnetic moment ... 0.00 μB per atom
Crystal system ... trigonal
Density ... 7.3 g cm⁻³
E_form ... 1.0 eV/f.u.

a b c (Å): 11.577 11.577 11.577
angles (deg): 27.26 27.26 27.26
Fractional positions:
1 Li 0.500 0.000 0.000
2 Li 0.000 0.500 0.000
3 Li 0.000 0.000 0.500
4 Pr 0.644 0.644 0.644
5 Pr 0.356 0.356 0.356
6 Cu 0.405 0.405 0.849
7 Cu 0.902 0.902 0.384
8 Cu 0.384 0.902 0.902
9 Cu 0.849 0.405 0.405
10 Cu 0.902 0.384 0.902
11 Cu 0.405 0.849 0.405
12 Cu 0.595 0.595 0.151
13 Cu 0.098 0.098 0.616
14 Cu 0.616 0.098 0.098
15 Cu 0.151 0.595 0.595
16 Cu 0.098 0.616 0.098
17 Cu 0.595 0.151 0.595
18 Pt 0.000 0.000 0.000


Record 4
# NbPb2W

NbPb2W after structural relaxation (PBE, Alexandria via LeMat-Bulk).

Magnetic moment ... 0.22 μB per atom
Crystal system ... tetragonal
Density ... 12.4 g cm⁻³
Distance to the lowest polymorph of the same formula ... 0.388 eV per atom
E_form ... 5.1 eV/f.u.

a b c (Å): 7.889 7.889 6.326
angles (deg): 51.42 51.42 90.00
Last column: magnetic moment on the atom in μB.
Fractional positions:
1 Pb 0.635 0.125 0.250  -0.01
2 Pb 0.115 0.625 0.250  0.00
3 Pb 0.375 0.365 0.750  0.00
4 Pb 0.875 0.885 0.750  0.00
5 Nb 0.500 0.500 0.000  -0.41
6 Nb 0.250 0.750 0.500  -0.40
7 W 0.000 0.000 0.000  1.11
8 W 0.750 0.250 0.500  1.10